Entry 1:
The following is a DFT calculation (PBE) of a geometry-optimized VPdAu4 structure.

Total DFT energy (no corrections) in eV/cell: -53.751
Energy relative to the lowest polymorph listed for this composition in eV per atom: 0.120
Total magnetic moment in μB per formula unit: 2.68

Cell: 9.2632 2.8738 8.9994 Å, 90.00 118.82 90.00°
Last column: nearest neighbours and their distance in Å.
Positions (direct):
V1 0.0000 0.0000 0.0000  8 Au 2.67-2.87, 2 V 2.87
V2 0.5000 0.5000 0.0000  8 Au 2.67-2.87, 2 V 2.87
Pd1 0.0000 0.5000 0.5000  10 Au 2.83-3.05, 2 Pd 2.87
Pd2 0.5000 0.0000 0.5000  10 Au 2.83-3.05, 2 Pd 2.87
Au1 0.1490 0.0000 0.3389  1 V 2.67, 3 Pd 2.83-2.85, 7 Au 2.84-2.96
Au2 0.2010 0.0000 0.8375  3 V 2.82-2.87, 7 Au 2.84-2.98, 2 Pd 3.05
Au3 0.2990 0.5000 0.1625  3 V 2.82-2.87, 7 Au 2.84-2.98, 2 Pd 3.05
Au4 0.3510 0.5000 0.6611  1 V 2.67, 3 Pd 2.83-2.85, 7 Au 2.84-2.96
Au5 0.6490 0.5000 0.3389  1 V 2.67, 3 Pd 2.83-2.85, 7 Au 2.84-2.96
Au6 0.7010 0.5000 0.8375  3 V 2.82-2.87, 7 Au 2.84-2.98, 2 Pd 3.05
Au7 0.7990 0.0000 0.1625  3 V 2.82-2.87, 7 Au 2.84-2.98, 2 Pd 3.05
Au8 0.8510 0.0000 0.6611  1 V 2.67, 3 Pd 2.83-2.85, 7 Au 2.84-2.96

---

Entry 2:
The following is a DFT calculation (PBE) of a geometry-optimized VPd5Au structure.

Total DFT energy (no corrections) in eV/cell: -38.633
Energy relative to the lowest polymorph listed for this composition in eV per atom: 0.000
Total magnetic moment in μB per formula unit: 0.00

Cell: 3.9738 3.9738 7.2240 Å, 90.00 90.00 90.00°
Last column: nearest neighbours and their distance in Å.
Positions (direct):
V1 0.0000 0.0000 0.0000  8 Pd 2.51
Pd1 0.0000 0.0000 0.5000  4 Au 2.81, 8 Pd 2.88
Pd2 0.0000 0.5000 0.2116  2 V 2.51
Pd3 0.0000 0.5000 0.7884  2 V 2.51
Pd4 0.5000 0.0000 0.2116  2 V 2.51
Pd5 0.5000 0.0000 0.7884  2 V 2.51
Au1 0.5000 0.5000 0.5000  12 Pd 2.81-2.88

---

Entry 3:
The following is a DFT calculation (PBE) of a geometry-optimized VPd8Au6 structure.

Total DFT energy (no corrections) in eV/cell: -70.597
Energy relative to the lowest polymorph listed for this composition in eV per atom: 0.011
Total magnetic moment in μB per formula unit: 0.00

Cell: 7.6880 7.6880 4.9308 Å, 90.00 90.00 120.00°
Last column: nearest neighbours and their distance in Å.
Positions (direct):
V1 0.0000 0.0000 0.0000  6 Pd 2.34
Pd1 0.0521 0.7873 0.2853  1 V 2.34
Pd2 0.2127 0.2648 0.2853  1 V 2.34
Pd3 0.2648 0.0521 0.7147  1 V 2.34
Pd4 0.3333 0.6667 0.2802  3 Pd 2.75, 9 Au 2.97-2.99
Pd5 0.6667 0.3333 0.7198  3 Pd 2.75, 9 Au 2.97-2.99
Pd6 0.7352 0.9479 0.2853  1 V 2.34
Pd7 0.7873 0.7352 0.7147  1 V 2.34
Pd8 0.9479 0.2127 0.7147  1 V 2.34
Au1 0.0998 0.6315 0.7778  8 Pd 2.81-2.99, 3 Au 2.85-2.90
Au2 0.3685 0.4683 0.7778  8 Pd 2.81-2.99, 3 Au 2.85-2.90
Au3 0.4683 0.0998 0.2222  8 Pd 2.81-2.99, 3 Au 2.85-2.90
Au4 0.5317 0.9002 0.7778  8 Pd 2.81-2.99, 3 Au 2.85-2.90
Au5 0.6315 0.5317 0.2222  8 Pd 2.81-2.99, 3 Au 2.85-2.90
Au6 0.9002 0.3685 0.2222  8 Pd 2.81-2.99, 3 Au 2.85-2.90

---

Entry 4:
The following is a DFT calculation (PBE) of a geometry-optimized VPd8Au2 structure.

Total DFT energy (no corrections) in eV/cell: -56.914
Energy relative to the lowest polymorph listed for this composition in eV per atom: 0.000
Total magnetic moment in μB per formula unit: 0.00

Cell: 6.7240 6.7240 4.2266 Å, 90.00 90.00 106.07°
Last column: nearest neighbours and their distance in Å.
Positions (direct):
V1 0.0000 0.0000 0.0000  4 Pd 2.45-2.59
Pd1 0.0384 0.2939 0.5000  7 Pd 2.69-2.96, 2 Au 2.70-2.97, 2 V 2.86
Pd2 0.2284 0.7716 0.0000  1 V 2.45, 2 Au 2.63, 4 Pd 2.73
Pd3 0.2939 0.0384 0.5000  7 Pd 2.69-2.96, 2 Au 2.70-2.97, 2 V 2.86
Pd4 0.3198 0.3198 0.0000  1 V 2.59, 4 Pd 2.81
Pd5 0.6802 0.6802 0.0000  1 V 2.59, 4 Pd 2.81
Pd6 0.7061 0.9616 0.5000  7 Pd 2.69-2.96, 2 Au 2.70-2.97, 2 V 2.86
Pd7 0.7716 0.2284 0.0000  1 V 2.45, 2 Au 2.63, 4 Pd 2.73
Pd8 0.9616 0.7061 0.5000  7 Pd 2.69-2.96, 2 Au 2.70-2.97, 2 V 2.86
Au1 0.3747 0.6253 0.5000  8 Pd 2.63-2.90, 1 Au 2.69
Au2 0.6253 0.3747 0.5000  8 Pd 2.63-2.90, 1 Au 2.69

---

Entry 5:
The following is a DFT calculation (PBE) of a geometry-optimized V2PdAu structure.

Total DFT energy (no corrections) in eV/cell: -100.669
Total magnetic moment in μB per formula unit: 0.00

Cell: 7.0598 7.0598 5.2367 Å, 90.00 90.00 90.00°
Last column: nearest neighbours and their distance in Å.
Positions (direct):
V1 0.2313 0.2500 0.1250  2 Pd 2.49, 2 V 2.63, 2 Au 2.67
V2 0.2500 0.7313 0.3750  2 Pd 2.49, 2 V 2.63, 2 Au 2.67
V3 0.2500 0.7687 0.8750  2 Pd 2.49, 2 V 2.63, 2 Au 2.67
V4 0.2687 0.2500 0.6250  2 Pd 2.49, 2 V 2.63, 2 Au 2.67
V5 0.7313 0.7500 0.6250  2 Pd 2.49, 2 V 2.63, 2 Au 2.67
V6 0.7500 0.2313 0.8750  2 Pd 2.49, 2 V 2.63, 2 Au 2.67
V7 0.7500 0.2687 0.3750  2 Pd 2.49, 2 V 2.63, 2 Au 2.67
V8 0.7687 0.7500 0.1250  2 Pd 2.49, 2 V 2.63, 2 Au 2.67
Pd1 0.0000 0.0000 0.0000  4 V 2.49, 2 Au 2.62
Pd2 0.0000 0.5000 0.2500  4 V 2.49, 2 Au 2.62
Pd3 0.5000 0.0000 0.7500  4 V 2.49, 2 Au 2.62
Pd4 0.5000 0.5000 0.5000  4 V 2.49, 2 Au 2.62
Au1 0.0000 0.0000 0.5000  2 Pd 2.62, 4 V 2.67
Au2 0.0000 0.5000 0.7500  2 Pd 2.62, 4 V 2.67
Au3 0.5000 0.0000 0.2500  2 Pd 2.62, 4 V 2.67
Au4 0.5000 0.5000 0.0000  2 Pd 2.62, 4 V 2.67

---

Entry 6:
The following is a DFT calculation (PBE) of a geometry-optimized VPd5Au4 structure.

Total DFT energy (no corrections) in eV/cell: -49.412
Total magnetic moment in μB per formula unit: 0.00

Cell: 2.8219 2.8219 20.2783 Å, 90.00 90.00 90.00°
Last column: nearest neighbours and their distance in Å.
Positions (direct):
V1 0.0000 0.0000 0.0000  8 Pd 2.66, 4 V 2.82
Pd1 0.5000 0.5000 0.0871  4 V 2.66, 4 Pd 2.82, 4 Au 2.94
Pd2 0.5000 0.5000 0.2951  4 Pd 2.82, 8 Au 2.87-2.88
Pd3 0.5000 0.5000 0.5000  4 Pd 2.82, 8 Au 2.88
Pd4 0.5000 0.5000 0.7049  4 Pd 2.82, 8 Au 2.87-2.88
Pd5 0.5000 0.5000 0.9129  4 V 2.66, 4 Pd 2.82, 4 Au 2.94
Au1 0.0000 0.0000 0.1933  4 Au 2.82, 8 Pd 2.87-2.94
Au2 0.0000 0.0000 0.3977  4 Au 2.82, 8 Pd 2.88
Au3 0.0000 0.0000 0.6023  4 Au 2.82, 8 Pd 2.88
Au4 0.0000 0.0000 0.8067  4 Au 2.82, 8 Pd 2.87-2.94

---

Entry 7:
The following is a DFT calculation (PBE) of a geometry-optimized VPd7Au2 structure.

Total DFT energy (no corrections) in eV/cell: -50.679
Total magnetic moment in μB per formula unit: 0.00

Cell: 9.0183 9.0183 2.7341 Å, 90.00 90.00 125.09°
Last column: nearest neighbours and their distance in Å.
Positions (direct):
V1 0.0000 0.0000 0.0000  10 Pd 2.62-2.88, 2 V 2.73
Pd1 0.1295 0.2980 0.5000  2 V 2.62, 6 Pd 2.70-2.74, 1 Au 2.76
Pd2 0.1801 0.8199 0.0000  6 Pd 2.72-2.73, 2 Au 2.73, 1 V 2.88
Pd3 0.2980 0.1295 0.5000  2 V 2.62, 6 Pd 2.70-2.74, 1 Au 2.76
Pd4 0.5000 0.5000 0.5000  6 Pd 2.73-2.74, 2 Au 2.75
Pd5 0.7020 0.8705 0.5000  2 V 2.62, 6 Pd 2.70-2.74, 1 Au 2.76
Pd6 0.8199 0.1801 0.0000  6 Pd 2.72-2.73, 2 Au 2.73, 1 V 2.88
Pd7 0.8705 0.7020 0.5000  2 V 2.62, 6 Pd 2.70-2.74, 1 Au 2.76
Au1 0.3280 0.6720 0.5000  5 Pd 2.73-2.76, 2 Au 2.73
Au2 0.6720 0.3280 0.5000  5 Pd 2.73-2.76, 2 Au 2.73

---

Entry 8:
The following is a DFT calculation (PBE) of a geometry-optimized VPdAu structure.

Total DFT energy (no corrections) in eV/cell: -71.355
Energy relative to the lowest polymorph listed for this composition in eV per atom: 0.083
Total magnetic moment in μB per formula unit: 1.83

Cell: 9.0614 3.8809 5.7028 Å, 90.00 109.25 90.00°
Last column: nearest neighbours and their distance in Å.
Positions (direct):
V1 0.1647 0.0000 0.0827  5 Pd 2.71-2.81, 4 Au 2.74-2.91, 3 V 2.82-2.83
V2 0.3353 0.5000 0.9173  5 Pd 2.71-2.81, 4 Au 2.74-2.91, 3 V 2.82-2.83
V3 0.6647 0.5000 0.0827  5 Pd 2.71-2.81, 4 Au 2.74-2.91, 3 V 2.82-2.83
V4 0.8353 0.0000 0.9173  5 Pd 2.71-2.81, 4 Au 2.74-2.91, 3 V 2.82-2.83
Pd1 0.0069 0.5000 0.7680  1 Pd 2.69, 5 V 2.71-2.81, 5 Au 2.81-2.91
Pd2 0.4931 0.0000 0.2320  1 Pd 2.69, 5 V 2.71-2.81, 5 Au 2.81-2.91
Pd3 0.5069 0.0000 0.7680  1 Pd 2.69, 5 V 2.71-2.81, 5 Au 2.81-2.91
Pd4 0.9931 0.5000 0.2320  1 Pd 2.69, 5 V 2.71-2.81, 5 Au 2.81-2.91
Au1 0.1716 0.0000 0.5967  4 V 2.74-2.91, 5 Pd 2.81-2.91, 3 Au 2.83-2.94
Au2 0.3284 0.5000 0.4033  4 V 2.74-2.91, 5 Pd 2.81-2.91, 3 Au 2.83-2.94
Au3 0.6716 0.5000 0.5967  4 V 2.74-2.91, 5 Pd 2.81-2.91, 3 Au 2.83-2.94
Au4 0.8284 0.0000 0.4033  4 V 2.74-2.91, 5 Pd 2.81-2.91, 3 Au 2.83-2.94

---

Entry 9:
The following is a DFT calculation (PBE) of a geometry-optimized VPd8Au2 structure.

Total DFT energy (no corrections) in eV/cell: -56.780
Energy relative to the lowest polymorph listed for this composition in eV per atom: 0.012
Total magnetic moment in μB per formula unit: 0.00

Cell: 7.2884 7.2884 5.1375 Å, 99.92 99.92 42.11°
Last column: nearest neighbours and their distance in Å.
Positions (direct):
V1 0.0000 0.0000 0.0000  4 Pd 2.44, 2 Au 2.73
Pd1 0.1729 0.6706 0.6162  1 V 2.44, 5 Pd 2.61-2.73
Pd2 0.2534 0.2534 0.3704  2 Au 2.68-2.80, 7 Pd 2.73-2.95
Pd3 0.3294 0.8271 0.3838  1 V 2.44, 5 Pd 2.61-2.73
Pd4 0.4074 0.4074 0.0894  8 Pd 2.75-2.98, 2 Au 2.93, 2 V 2.98
Pd5 0.5926 0.5926 0.9106  8 Pd 2.75-2.98, 2 Au 2.93, 2 V 2.98
Pd6 0.6706 0.1729 0.6162  1 V 2.44, 5 Pd 2.61-2.73
Pd7 0.7466 0.7466 0.6296  2 Au 2.68-2.80, 7 Pd 2.73-2.95
Pd8 0.8271 0.3294 0.3838  1 V 2.44, 5 Pd 2.61-2.73
Au1 0.1819 0.1819 0.8486  6 Pd 2.68-2.93, 1 V 2.73
Au2 0.8181 0.8181 0.1514  6 Pd 2.68-2.93, 1 V 2.73

---

Entry 10:
The following is a DFT calculation (PBE) of a geometry-optimized VPdAu3 structure.

Total DFT energy (no corrections) in eV/cell: -19.084
Energy relative to the lowest polymorph listed for this composition in eV per atom: 0.979
Total magnetic moment in μB per formula unit: 2.17

Cell: 4.8547 4.8547 4.8547 Å, 90.00 90.00 90.00°
Last column: nearest neighbours and their distance in Å.
Positions (direct):
V1 0.0000 0.0000 0.0000  6 Au 2.43
Pd1 0.5000 0.5000 0.5000  12 Au 3.43
Au1 0.0000 0.0000 0.5000  2 V 2.43
Au2 0.0000 0.5000 0.0000  2 V 2.43
Au3 0.5000 0.0000 0.0000  2 V 2.43